# BeZnIr2

A geometry-optimized BeZnIr2 structure (GGA-PBEsol, Alexandria via LeMat-Bulk).

The space group is P4/mmm (No. 123) and the conventional cell measures 2.839, 2.839 and 6.017 Å, with angles of 90.00, 90.00 and 90.00 degrees. Symmetry generates all atoms from Be at (0.000, 0.000, 0.000), Zn at (0.000, 0.000, 0.500) and Ir at (0.500, 0.500, 0.224).

The total energy comes out at -6.61 eV per atom. The calculated formation energy is -0.30 eV/atom. The spin magnetization is 0.0 μB per formula unit.